1.
This record from Alexandria describes a geometry-optimized TbGa4Ag8 structure. The functional is PBE-GGA.

Values from the calculation:
Energy of formation: -0.13 eV per atom
D(E_F): 0.41 states/eV/atom

a b c (Å): 7.169 7.169 7.169
angles (deg): 97.98 97.98 136.25
Fractional coordinates of all 13 atoms:
Tb  0.000  0.000  0.000
Ga  0.000  0.000  0.500
Ga  0.000  0.500  0.000
Ga  0.500  0.000  0.000
Ga  0.500  0.500  0.500
Ag  0.000  0.347  0.347
Ag  0.000  0.653  0.653
Ag  0.285  0.500  0.785
Ag  0.347  0.000  0.347
Ag  0.500  0.285  0.785
Ag  0.500  0.715  0.215
Ag  0.653  0.000  0.653
Ag  0.715  0.500  0.215


2.
This record from Alexandria describes a geometry-optimized KZn4Ru structure. The functional is PBE-GGA.

Values from the calculation:
Energy of formation: 0.38 eV per atom
D(E_F): 0.95 states/eV/atom

a b c (Å): 5.274 5.274 5.274
angles (deg): 60.00 60.00 60.00
Fractional coordinates of all 6 atoms:
K  0.000  0.000  0.000
Zn  0.377  0.377  0.377
Zn  0.377  0.377  0.869
Zn  0.377  0.869  0.377
Zn  0.869  0.377  0.377
Ru  0.750  0.750  0.750


3.
This record from Alexandria describes a geometry-optimized PmZrPa2P4 structure. The functional is PBE-GGA.

Values from the calculation:
Energy of formation: -1.35 eV per atom
D(E_F): 1.20 states/eV/atom

a b c (Å): 6.835 6.835 6.835
angles (deg): 131.64 131.64 70.80
Fractional coordinates of all 8 atoms:
Pm  0.000  0.000  0.000
Zr  0.250  0.750  0.500
Pa  0.500  0.500  0.000
Pa  0.750  0.250  0.500
P  0.003  0.503  0.500
P  0.254  0.254  0.000
P  0.497  0.997  0.500
P  0.746  0.746  0.000


4.
This record from Alexandria describes a geometry-optimized CsSnIr2 structure. The functional is PBE-GGA.

Values from the calculation:
Energy of formation: 1.04 eV per atom
D(E_F): 1.05 states/eV/atom

a b c (Å): 6.460 6.460 6.460
angles (deg): 104.98 104.98 118.89
Fractional coordinates of all 8 atoms:
Cs  0.000  0.000  0.000
Cs  0.750  0.250  0.500
Sn  0.250  0.750  0.500
Sn  0.500  0.500  0.000
Ir  0.186  0.125  0.561
Ir  0.375  0.814  0.939
Ir  0.564  0.625  0.439
Ir  0.875  0.436  0.061


5.
This record from Alexandria describes a geometry-optimized CsBa8Pd4 structure. The functional is PBE-GGA.

Values from the calculation:
Energy of formation: -0.37 eV per atom
D(E_F): 0.68 states/eV/atom

a b c (Å): 11.933 11.933 11.933
angles (deg): 92.27 92.27 157.05
Fractional coordinates of all 13 atoms:
Cs  0.000  0.000  0.000
Ba  0.040  0.337  0.376
Ba  0.301  0.346  0.648
Ba  0.337  0.960  0.297
Ba  0.346  0.699  0.045
Ba  0.654  0.301  0.955
Ba  0.663  0.040  0.703
Ba  0.699  0.654  0.352
Ba  0.960  0.663  0.624
Pd  0.155  0.672  0.827
Pd  0.328  0.155  0.483
Pd  0.672  0.845  0.517
Pd  0.845  0.328  0.173


6.
This record from Alexandria describes a geometry-optimized K2Ba2Te structure. The functional is PBE-GGA.

Values from the calculation:
Raw formation energy: -459 meV/atom
D(E_F): 0.56 states/eV/atom

a b c (Å): 9.187 9.187 7.706
angles (deg): 90.00 90.00 90.00
Fractional coordinates of all 10 atoms:
K  0.160  0.340  0.000
K  0.340  0.840  0.000
K  0.660  0.160  0.000
K  0.840  0.660  0.000
Ba  0.174  0.674  0.500
Ba  0.326  0.174  0.500
Ba  0.674  0.826  0.500
Ba  0.826  0.326  0.500
Te  0.000  0.000  0.500
Te  0.500  0.500  0.500


7.
This record from Alexandria describes a geometry-optimized Li3In2Pb structure. The functional is PBE-GGA.

Values from the calculation:
Energy of formation: -0.26 eV per atom
D(E_F): 0.34 states/eV/atom

a b c (Å): 3.342 3.342 11.100
angles (deg): 90.00 90.00 90.00
Fractional coordinates of all 6 atoms:
Li  0.000  0.000  0.000
Li  0.000  0.000  0.326
Li  0.000  0.000  0.674
In  0.500  0.500  0.162
In  0.500  0.500  0.838
Pb  0.500  0.500  0.500


8.
This record from Alexandria describes a geometry-optimized LiHoGa structure. The functional is PBE-GGA.

Values from the calculation:
Energy of formation: -0.40 eV per atom
D(E_F): 1.00 states/eV/atom

a b c (Å): 6.896 6.896 4.583
angles (deg): 90.00 90.00 120.00
Fractional coordinates of all 9 atoms:
Li  0.000  0.229  0.000
Li  0.229  0.000  0.000
Li  0.771  0.771  0.000
Ho  0.000  0.573  0.500
Ho  0.427  0.427  0.500
Ho  0.573  0.000  0.500
Ga  0.000  0.000  0.500
Ga  0.333  0.667  0.000
Ga  0.667  0.333  0.000


9.
This record from Alexandria describes a geometry-optimized TlInRu4 structure. The functional is PBE-GGA.

Values from the calculation:
Energy of formation: 0.57 eV per atom
D(E_F): 1.47 states/eV/atom

a b c (Å): 5.263 5.263 5.263
angles (deg): 60.00 60.00 60.00
Fractional coordinates of all 6 atoms:
Tl  0.000  0.000  0.000
In  0.750  0.750  0.750
Ru  0.375  0.375  0.375
Ru  0.375  0.375  0.875
Ru  0.375  0.875  0.375
Ru  0.875  0.375  0.375


10.
This record from Alexandria describes a geometry-optimized Ca3Pr12Sm structure. The functional is PBE-GGA.

Values from the calculation:
Energy of formation: 0.05 eV per atom
D(E_F): 1.54 states/eV/atom

a b c (Å): 5.268 5.268 21.065
angles (deg): 90.00 90.00 90.00
Fractional coordinates of all 16 atoms:
Ca  0.000  0.000  0.000
Ca  0.000  0.000  0.251
Ca  0.000  0.000  0.749
Pr  0.000  0.500  0.125
Pr  0.000  0.500  0.378
Pr  0.000  0.500  0.622
Pr  0.000  0.500  0.875
Pr  0.500  0.000  0.125
Pr  0.500  0.000  0.378
Pr  0.500  0.000  0.622
Pr  0.500  0.000  0.875
Pr  0.500  0.500  0.000
Pr  0.500  0.500  0.250
Pr  0.500  0.500  0.500
Pr  0.500  0.500  0.750
Sm  0.000  0.000  0.500


11.
This record from Alexandria describes a geometry-optimized TbHfAl structure. The functional is PBE-GGA.

Values from the calculation:
Energy of formation: -0.01 eV per atom
D(E_F): 1.21 states/eV/atom

a b c (Å): 4.915 4.915 3.392
angles (deg): 90.00 90.00 120.00
Fractional coordinates of all 3 atoms:
Tb  0.000  0.000  0.000
Hf  0.333  0.667  0.465
Al  0.667  0.333  0.598


12.
This record from Alexandria describes a geometry-optimized K4Tb3ZrSe8 structure. The functional is PBE-GGA.

Values from the calculation:
Raw formation energy: -1638 meV/atom
D(E_F): 0.29 states/eV/atom

a b c (Å): 9.075 9.075 9.075
angles (deg): 54.50 54.50 54.50
Fractional coordinates of all 16 atoms:
K  0.000  0.000  0.000
K  0.000  0.500  0.500
K  0.500  0.000  0.500
K  0.500  0.500  0.000
Tb  0.000  0.000  0.500
Tb  0.000  0.500  0.000
Tb  0.500  0.000  0.000
Zr  0.500  0.500  0.500
Se  0.236  0.236  0.236
Se  0.247  0.729  0.729
Se  0.271  0.271  0.753
Se  0.271  0.753  0.271
Se  0.729  0.247  0.729
Se  0.729  0.729  0.247
Se  0.753  0.271  0.271
Se  0.764  0.764  0.764


| no. | calculated total energy (eV/cell) |
| --- | --- |
| 1 | -41.2 |
| 2 | -13.2 |
| 3 | -64.7 |
| 4 | -36.9 |
| 5 | -41.9 |
| 6 | -23.0 |
| 7 | -16.5 |
| 8 | -32.2 |
| 9 | -38.8 |
| 10 | -67.3 |
| 11 | -18.4 |
| 12 | -80.9 |